Here is an optimized crystal structure of MnGaI2O from Alexandria. Energies are from PBE+U.

Summary:
Calculated volume in Å³ per cell: 135
M_tot in μB/f.u.: 4.1
Electronic total energy in eV/cell: -21.03
D(E_F) in states/eV per cell: 4.34

Lattice parameters (Å, degrees): 5.995 5.995 3.747 90.00 90.00 90.00
Fractional coordinates of all 5 atoms:
I (0.000, 0.500, 0.000)
I (0.500, 0.000, 0.000)
Mn (0.000, 0.000, 0.000)
O (0.000, 0.000, 0.500)
Ga (0.500, 0.500, 0.500)